# 1
Below is a relaxed Sc2TlIr crystal, with properties calculated at the GGA-PBE level.

POSCAR file:
```
Sc2TlIr
1.0
-1.7569 -3.6726 2.4352
2.7034 -3.8099 0.8254
1.5569 -0.8976 4.3903
Ir Sc Tl
1 2 1
Direct
0.5000 0.5000 0.5000
0.0000 0.0000 0.0000
0.2500 0.2500 0.2500
0.7500 0.7500 0.7500
```

Summary:
Space group: F-43m, No. 216
Theoretical density: 10.70 g/cm³
Total magnetization: 0.00 μB per formula unit
Electronic total energy: -25.5 eV for the cell shown

***

# 2
Below is a relaxed SmCdC crystal, with properties calculated at the GGA-PBE level.

POSCAR file:
```
SmCdC
1.0
-2.0402 3.0484 0.5412
-0.8958 -2.2198 -3.5752
-4.7266 -4.4396 7.1888
Sm Cd C
2 2 2
Direct
0.0890 0.1779 0.8496
0.9110 0.8221 0.1504
0.3165 0.6330 0.4083
0.6835 0.3670 0.5917
0.5894 0.1789 0.0347
0.4106 0.8211 0.9653
```

Summary:
Space group: C2/m, No. 12
Theoretical density: 6.88 g/cm³
Energy relative to the lowest polymorph listed for this composition: 0 meV/atom
Total magnetization: 0.00 μB per formula unit
Electronic total energy: -31.0 eV for the cell shown

***

# 3
Below is a relaxed KCr2Pb crystal, with properties calculated at the GGA-PBE level.

POSCAR file:
```
KCr2Pb
1.0
3.9008 0.0000 0.0000
0.0000 3.4964 0.3707
0.0000 2.6191 8.7107
Cr K Pb
2 1 1
Direct
0.0000 0.0721 0.9281
0.0000 0.4279 0.5719
0.5000 0.2500 0.2500
0.5000 0.7500 0.7500
```

Summary:
Space group: Pmmm, No. 47
Theoretical density: 5.06 g/cm³
Total magnetization: 9.36 μB per formula unit
Electronic total energy: -20.6 eV for the cell shown

***

# 4
Below is a relaxed Ho4MgSc3 crystal, with properties calculated at the GGA-PBE level.

POSCAR file:
```
Ho4MgSc3
1.0
-1.4173 -2.7146 -1.0045
4.1435 0.5613 -7.3630
5.8329 -4.5640 4.1043
Ho Mg Sc
4 1 3
Direct
0.0000 0.7515 0.7515
0.5000 0.2468 0.7532
0.0000 0.2485 0.2485
0.5000 0.7532 0.2468
0.5000 0.0000 0.0000
0.0000 0.0000 0.5000
0.5000 0.5000 0.5000
0.0000 0.5000 0.0000
```

Summary:
Space group: Cmmm, No. 65
Theoretical density: 5.93 g/cm³
Total magnetization: 1.29 μB per formula unit
Electronic total energy: -35.6 eV for the cell shown

***

# 5
Below is a relaxed Sm3IrPb crystal, with properties calculated at the GGA-PBE level.

POSCAR file:
```
Sm3IrPb
1.0
5.8056 0.3097 0.0000
-2.2537 7.0033 0.0000
0.0000 0.0000 7.0265
Sm Ir Pb
6 2 2
Direct
0.8264 0.2062 0.9853
0.1736 0.7938 0.4853
0.6363 0.6173 0.7500
0.3637 0.3827 0.2500
0.1736 0.7938 0.0147
0.8264 0.2062 0.5147
0.8835 0.4905 0.2500
0.1165 0.5095 0.7500
0.6782 0.8213 0.2500
0.3218 0.1787 0.7500
```

Summary:
Space group: P2_1/m, No. 11
Theoretical density: 9.72 g/cm³
Energy relative to the lowest polymorph listed for this composition: 110 meV/atom
Total magnetization: 0.00 μB per formula unit
Electronic total energy: -58.7 eV for the cell shown